Entry 1:
## LaZrGe2 (PBE)

Data for a geometry-optimized LaZrGe2 structure.

Cell: 5.913 5.913 8.742 Å, 70.23 70.23 90.00°
Element x y z (fractional)
Ge (0.193, 0.625, 0.250)
Ge (0.375, 0.443, 0.750)
Ge (0.875, 0.807, 0.750)
Ge (0.557, 0.125, 0.250)
La (0.750, 0.250, 0.500)
La (0.000, 0.000, 0.000)
Zr (0.250, 0.750, 0.500)
Zr (0.500, 0.500, 0.000)

space group	No. 122
E_tot	-0.2084	Ha/atom
energy of formation	7	meV/atom
N(E_F)	0.67	states/eV/f.u.

***

Entry 2:
## NaLaGe2Cl (PBE)

Data for a geometry-optimized NaLaGe2Cl structure.

Cell: 5.283 4.768 5.283 Å, 90.00 90.00 90.00°
Element x y z (fractional)
Na (0.000, 0.500, 0.000)
Cl (0.000, 0.000, 0.000)
La (0.500, 0.500, 0.500)
Ge (0.000, 0.000, 0.500)
Ge (0.500, 0.000, 0.000)

space group	No. 123
E_tot	-0.1330	Ha/atom
N(E_F)	3.36	states/eV/f.u.
ΔE_f (raw)	-152	meV per atom

***

Entry 3:
## ZrSnSCl2 (PBE)

Data for a geometry-optimized ZrSnSCl2 structure.

Cell: 5.246 5.246 5.279 Å, 90.00 90.00 90.00°
Site moments in Bohr magnetons follow the coordinates.
Element x y z (fractional)
Zr (0.500, 0.500, 0.500)  1.66
Cl (0.500, 0.000, 0.000)  0.00
Cl (0.000, 0.500, 0.000)  0.00
Sn (0.000, 0.000, 0.000)  0.00
S (0.000, 0.000, 0.500)  -0.04

space group	No. 123
E_tot	-0.1461	Ha/atom
N(E_F)	3.48	states/eV/f.u.
ΔE_f (raw)	98	meV per atom

***

Entry 4:
## NiAs2Ir (PBE)

Data for a geometry-optimized NiAs2Ir structure.

Cell: 5.249 5.249 5.249 Å, 146.21 130.16 61.57°
Element x y z (fractional)
Ir (0.513, 0.513, 0.000)
Ni (0.232, 0.732, 0.500)
As (0.015, 0.015, 0.000)
As (0.740, 0.240, 0.500)

space group	No. 44
E_tot	-0.2143	Ha/atom
energy of formation	153	meV/atom
N(E_F)	2.26	states/eV/f.u.